1.
The following is a PBE calculation of a relaxed structure of CaEu3Si, from the Alexandria database.

Summary:
VASP energy: -7.7302 eV/atom
Formation energy from raw total energies: -81 meV/atom
Total moment: 22.77 μB per formula unit

Cell: 5.9200 5.9200 5.9200 Å, 90.00 90.00 90.00°
Space group Pm-3m (No. 221)
One atom of each set of equivalent atoms:
1 Ca 0.0000 0.0000 0.0000 [1 per cell]
2 Eu 0.0000 0.5000 0.5000 [3 per cell]
3 Si 0.5000 0.5000 0.5000 [1 per cell]

---

2.
The following is a PBE calculation of a relaxed structure of CaEu2Si, from the Alexandria database.

Summary:
VASP energy: -7.2013 eV/atom
Formation energy from raw total energies: -208 meV/atom
Total moment: 14.46 μB per formula unit

Cell: 3.7658 3.7658 9.3307 Å, 90.00 90.00 90.00°
Space group P4/mmm (No. 123)
One atom of each set of equivalent atoms:
1 Ca 0.0000 0.0000 0.0000 [1 per cell]
2 Eu 0.5000 0.5000 0.3227 [2 per cell]
3 Si 0.0000 0.0000 0.5000 [1 per cell]

---

3.
The following is a PBE calculation of a relaxed structure of CaEu2Si, from the Alexandria database.

Summary:
VASP energy: -7.0734 eV/atom
Formation energy from raw total energies: -80 meV/atom
Total moment: 14.60 μB per formula unit

Cell: 3.9343 3.9343 32.2328 Å, 90.00 90.00 120.00°
Space group R-3m (No. 166, hexagonal axes)
One atom of each set of equivalent atoms:
1 Ca 0.0000 0.0000 0.0000 [3 per cell]
2 Eu 0.0000 0.0000 0.2280 [6 per cell]
3 Si 0.0000 0.0000 0.5000 [3 per cell]

---

4.
The following is a PBE calculation of a relaxed structure of CaSmEu2, from the Alexandria database.

Summary:
VASP energy: -6.7234 eV/atom
Total moment: 14.47 μB per formula unit

Cell: 8.5497 8.5497 8.5497 Å, 90.00 90.00 90.00°
Space group Fm-3m (No. 225)
One atom of each set of equivalent atoms:
1 Ca 0.0000 0.0000 0.0000 [4 per cell]
2 Sm 0.0000 0.0000 0.5000 [4 per cell]
3 Eu 0.2500 0.2500 0.2500 [8 per cell]